*P*
TeIrPb: optimized geometry, GGA-PBE.

Calculated values
**Total moment**: 0.00 μB per cell
**Mass density**: 11.97 g/cm³

abc: 6.6379 6.6379 6.6379
angles: 90.00 90.00 90.00
Space group F-43m (No. 216)
Asymmetric unit:
Te 0.0000 0.0000 0.0000
Ir 0.2500 0.2500 0.7500
Pb 0.0000 0.0000 0.5000

*Q*
TeIrPb: optimized geometry, GGA-PBE.

Calculated values
**Total moment**: 0.00 μB per cell
**Mass density**: 11.64 g/cm³

abc: 3.3710 3.3710 13.2275
angles: 90.00 90.00 90.00
Space group I4mm (No. 107)
Asymmetric unit:
Te 0.0000 0.0000 0.0000
Ir 0.0000 0.0000 0.4017
Pb 0.0000 0.0000 0.7449

*R*
TeIrPb: optimized geometry, GGA-PBE.

Calculated values
**Total moment**: 0.00 μB per cell
**Mass density**: 11.31 g/cm³

abc: 3.9580 3.9580 5.7038
angles: 90.00 90.00 120.00
Space group P3m1 (No. 156)
Asymmetric unit:
Te 0.0000 0.0000 0.0000
Ir 0.6667 0.3333 0.2178
Pb 0.3333 0.6667 0.5236

It comes down to *R*, which is 0.023 eV/atom more stable than the next structure.

*P*
TeIr2Pb: optimized geometry, GGA-PBE.

Calculated values
**Total moment**: 0.00 μB per cell
**Mass density**: 15.01 g/cm³

abc: 3.3492 3.3492 7.0926
angles: 90.00 90.00 90.00
Space group P4/mmm (No. 123)
Asymmetric unit:
Te 0.0000 0.0000 0.0000
Ir 0.5000 0.5000 0.2104
Pb 0.0000 0.0000 0.5000

*Q*
TeIr2Pb: optimized geometry, GGA-PBE.

Calculated values
**Total moment**: 0.00 μB per cell
**Mass density**: 13.26 g/cm³

abc: 3.0665 3.8846 7.5592
angles: 90.00 90.00 90.00
Space group Pmm2 (No. 25)
Asymmetric unit:
Te 0.0000 0.0000 0.0000
Ir 0.0000 0.0000 0.3531
Ir 0.5000 0.5000 0.1595
Pb 0.5000 0.5000 0.5618

*R*
TeIr2Pb: optimized geometry, GGA-PBE.

Calculated values
**Total moment**: 0.00 μB per cell
**Mass density**: 14.58 g/cm³

abc: 3.1644 3.7640 6.8773
angles: 90.00 90.00 90.00
Space group Pmmm (No. 47)
Asymmetric unit:
Te 0.0000 0.0000 0.0000
Ir 0.0000 0.5000 0.2902
Pb 0.5000 0.0000 0.5000

*S*
TeIr2Pb: optimized geometry, GGA-PBE.

Calculated values
**Total moment**: 0.00 μB per cell
**Mass density**: 14.95 g/cm³

abc: 6.8366 6.8366 6.8366
angles: 90.00 90.00 90.00
Space group F-43m (No. 216)
Asymmetric unit:
Te 0.0000 0.0000 0.0000
Ir 0.0000 0.0000 0.5000
Ir 0.2500 0.2500 0.7500
Pb 0.2500 0.2500 0.2500

It comes down to *Q*, which is 0.167 eV/atom more stable than the next structure.

*P*
TeIr2Pb: optimized geometry, GGA-PBE.

Calculated values
**Total moment**: 0.00 μB per cell
**Mass density**: 15.47 g/cm³

abc: 4.9298 4.9298 3.1771
angles: 90.00 90.00 90.00
Space group P4/mmm (No. 123)
Asymmetric unit:
Te 0.0000 0.0000 0.0000
Ir 0.0000 0.5000 0.5000
Pb 0.5000 0.5000 0.0000

*Q*
TeIr2Pb: optimized geometry, GGA-PBE.

Calculated values
**Total moment**: 0.00 μB per cell
**Mass density**: 12.82 g/cm³

abc: 8.8882 3.1670 7.6469
angles: 90.00 120.01 90.00
Space group C2/m (No. 12)
Asymmetric unit:
Te 0.0000 0.0000 0.0000
Ir 0.2014 0.0000 0.8279
Pb 0.0000 0.5000 0.5000

*R*
TeIr2Pb: optimized geometry, GGA-PBE.

Calculated values
**Total moment**: 0.00 μB per cell
**Mass density**: 15.40 g/cm³

abc: 6.7695 6.7695 6.7695
angles: 90.00 90.00 90.00
Space group Fm-3m (No. 225)
Asymmetric unit:
Te 0.0000 0.0000 0.0000
Ir 0.2500 0.2500 0.2500
Pb 0.0000 0.0000 0.5000

It comes down to *Q*, which is 0.125 eV/atom more stable than the next structure.

*P*
TeIr2Pb: optimized geometry, GGA-PBE.

Calculated values
**Total moment**: 0.00 μB per cell
**Mass density**: 11.17 g/cm³

abc: 5.6005 5.6005 13.6405
angles: 90.00 90.00 90.00
Space group I-42d (No. 122)
Asymmetric unit:
Te 0.0000 0.0000 0.0000
Ir 0.2198 0.2500 0.1250
Pb 0.0000 0.0000 0.5000

*Q*
TeIr2Pb: optimized geometry, GGA-PBE.

Calculated values
**Total moment**: 0.00 μB per cell
**Mass density**: 14.91 g/cm³

abc: 6.2627 9.4139 3.1303
angles: 90.00 119.73 90.00
Space group C2/m (No. 12)
Asymmetric unit:
Te 0.0000 0.0000 0.0000
Ir 0.2500 0.2500 0.5000
Pb 0.0000 0.5000 0.0000

It comes down to *P*, which is 0.249 eV/atom more stable than the next structure.